No. 1
ErBe9Rh2 | GGA-PBE | optimized geometry

Properties
energy of formation from the pure elements: -359 meV per atom
N(E_F): 5.80 states/eV/f.u.
crystal system: hexagonal

a b c (Å): 4.4606 4.4606 14.2274
angles (deg): 90.00 90.00 120.00
Sites, in units of the cell vectors:
1 Be 0.8303 0.1697 0.6173
2 Be 0.1697 0.3395 0.1173
3 Be 0.3333 0.6667 0.2500
4 Be 0.0000 0.0000 0.2500
5 Be 0.8303 0.1697 0.8827
6 Be 0.6667 0.3333 0.7500
7 Be 0.3395 0.1697 0.8827
8 Be 0.6605 0.8303 0.3827
9 Be 0.6605 0.8303 0.1173
10 Be 0.1697 0.8303 0.1173
11 Be 0.1697 0.3395 0.3827
12 Be 0.1697 0.8303 0.3827
13 Be 0.0000 0.0000 0.7500
14 Be 0.0000 0.0000 0.5000
15 Be 0.0000 0.0000 0.0000
16 Be 0.3395 0.1697 0.6173
17 Be 0.8303 0.6605 0.6173
18 Be 0.8303 0.6605 0.8827
19 Er 0.6667 0.3333 0.2500
20 Er 0.3333 0.6667 0.7500
21 Rh 0.6667 0.3333 0.0403
22 Rh 0.3333 0.6667 0.9597
23 Rh 0.3333 0.6667 0.5403
24 Rh 0.6667 0.3333 0.4597

No. 2
LiHoPdRu | GGA-PBE | optimized geometry

Properties
energy of formation from the pure elements: -262 meV per atom
N(E_F): 2.08 states/eV/f.u.
crystal system: cubic

a b c (Å): 4.5646 4.5646 4.5646
angles (deg): 60.00 60.00 60.00
Sites, in units of the cell vectors:
1 Ho 0.7500 0.7500 0.7500
2 Ru 0.0000 0.0000 0.0000
3 Pd 0.5000 0.5000 0.5000
4 Li 0.2500 0.2500 0.2500

No. 3
NiWAu2I | GGA-PBE | optimized geometry

Properties
N(E_F): 2.80 states/eV/f.u.
formation energy from raw total energies: 7.07 eV per formula unit
crystal system: tetragonal

a b c (Å): 4.8319 4.7995 4.8319
angles (deg): 90.00 90.00 90.00
Sites, in units of the cell vectors:
1 Au 0.0000 0.0000 0.5000
2 Au 0.5000 0.0000 0.0000
3 Ni 0.0000 0.0000 0.0000
4 I 0.0000 0.5000 0.0000
5 W 0.5000 0.5000 0.5000

The lowest N(E_F) belongs to which entry? LiHoPdRu

What did the second record say?
LiHoPdRu | GGA-PBE | optimized geometry

Properties
energy of formation from the pure elements: -262 meV per atom
N(E_F): 2.08 states/eV/f.u.
crystal system: cubic

a b c (Å): 4.5646 4.5646 4.5646
angles (deg): 60.00 60.00 60.00
Sites, in units of the cell vectors:
1 Ho 0.7500 0.7500 0.7500
2 Ru 0.0000 0.0000 0.0000
3 Pd 0.5000 0.5000 0.5000
4 Li 0.2500 0.2500 0.2500

The highest N(E_F) belongs to which entry? ErBe9Rh2